# 1
## LiRu3Br (GGA-PBE)

Data for a relaxed structure of LiRu3Br.

The energy relative to the elements, uncorrected comes out at 152.30 kJ per mole of atoms. The value obtained for the raw total energy is -23.5 eV per formula unit.

Unit cell a=4.224 b=4.224 c=4.224 alpha=90.00 beta=90.00 gamma=90.00
Space group Pm-3m (No. 221)
Inequivalent atoms, fractional coordinates:
Li 0.000 0.000 0.000 [1 per cell]
Ru 0.000 0.000 0.500 [3 per cell]
Br 0.500 0.500 0.500 [1 per cell]

# 2
## Er6CuPd12 (GGA-PBE)

Data for a relaxed structure of Er6CuPd12.

For the formation energy from the elements, the calculation gives -0.75 eV/atom. The value obtained for the raw total energy is -108.1 eV per formula unit.

Unit cell a=10.6591 b=10.6591 c=11.0561 alpha=90.00 beta=90.00 gamma=120.00
Space group R-3 (No. 148, hexagonal axes)
Inequivalent atoms, fractional coordinates:
Er 0.0104 0.4256 0.2377 [18 per cell]
Cu 0.0000 0.0000 0.5000 [3 per cell]
Pd 0.0579 0.8797 0.8906 [18 per cell]
Pd 0.0591 0.1848 0.3301 [18 per cell]

# 3
## PuGaSb (GGA-PBE)

Data for a relaxed structure of PuGaSb.

The energy relative to the elements, uncorrected comes out at -26.60 kJ per mole of atoms. The value obtained for the raw total energy is -22.3 eV per formula unit.

Unit cell a=5.0771 b=5.0771 c=3.2540 alpha=90.00 beta=90.00 gamma=120.00
Space group P-6m2 (No. 187)
Inequivalent atoms, fractional coordinates:
Pu 0.0000 0.0000 0.0000 [1 per cell]
Ga 0.3333 0.6667 0.5000 [1 per cell]
Sb 0.6667 0.3333 0.5000 [1 per cell]

# 4
## Pm4PuPa3N8 (GGA-PBE)

Data for a relaxed structure of Pm4PuPa3N8.

The energy relative to the elements, uncorrected comes out at -149.03 kJ per mole of atoms. The value obtained for the raw total energy is -153.1 eV per formula unit.

Unit cell a=7.1091 b=7.1091 c=17.4187 alpha=90.00 beta=90.00 gamma=120.00
Space group R-3m (No. 166, hexagonal axes)
Inequivalent atoms, fractional coordinates:
Pm 0.0000 0.0000 0.0000 [3 per cell]
Pm 0.0000 0.5000 0.0000 [9 per cell]
Pu 0.0000 0.0000 0.5000 [3 per cell]
Pa 0.0000 0.5000 0.5000 [9 per cell]
N 0.0000 0.0000 0.2395 [6 per cell]
N 0.0106 0.5053 0.7596 [18 per cell]

# 5
## Pr2SmGa (GGA-PBE)

Data for a relaxed structure of Pr2SmGa.

For the formation energy from the elements, the calculation gives -0.14 eV/atom. The value obtained for the raw total energy is -17.9 eV per formula unit.

Unit cell a=3.7596 b=3.7596 c=31.5534 alpha=90.00 beta=90.00 gamma=120.00
Space group R3m (No. 160, hexagonal axes)
Inequivalent atoms, fractional coordinates:
Pr 0.0000 0.0000 0.0000 [3 per cell]
Pr 0.0000 0.0000 0.1917 [3 per cell]
Sm 0.0000 0.0000 0.4294 [3 per cell]
Ga 0.0000 0.0000 0.5955 [3 per cell]

# 6
## PmSm2Th6 (GGA-PBE)

Data for a relaxed structure of PmSm2Th6.

For the formation energy from the elements, the calculation gives 0.10 eV/atom. The value obtained for the raw total energy is -57.8 eV per formula unit.

Unit cell a=3.5548 b=3.5548 c=27.2152 alpha=90.00 beta=90.00 gamma=120.00
Space group P-6m2 (No. 187)
Inequivalent atoms, fractional coordinates:
Pm 0.0000 0.0000 0.0000 [1 per cell]
Sm 0.6667 0.3333 0.3298 [2 per cell]
Th 0.0000 0.0000 0.2187 [2 per cell]
Th 0.0000 0.0000 0.4393 [2 per cell]
Th 0.6667 0.3333 0.1114 [2 per cell]

# 7
## Tl2GeC (GGA-PBE)

Data for a relaxed structure of Tl2GeC.

For the formation energy from the elements, the calculation gives 1.51 eV/atom. The value obtained for the raw total energy is -12.5 eV per formula unit.

Unit cell a=6.997 b=6.997 c=6.997 alpha=90.00 beta=90.00 gamma=90.00
Space group Fm-3m (No. 225)
Inequivalent atoms, fractional coordinates:
Tl 0.250 0.250 0.250 [8 per cell]
Ge 0.000 0.000 0.000 [4 per cell]
C 0.000 0.000 0.500 [4 per cell]

# 8
## TlGa2PbBr8 (GGA-PBE)

Data for a relaxed structure of TlGa2PbBr8.

The energy relative to the elements, uncorrected comes out at -71.00 kJ per mole of atoms. The value obtained for the raw total energy is -34.3 eV per formula unit.

Unit cell a=7.1290 b=7.1290 c=10.3195 alpha=90.00 beta=90.00 gamma=120.00
Space group P-3 (No. 147)
Inequivalent atoms, fractional coordinates:
Tl 0.0000 0.0000 0.0000 [1 per cell]
Ga 0.3333 0.6667 0.7728 [2 per cell]
Pb 0.0000 0.0000 0.5000 [1 per cell]
Br 0.0123 0.3335 0.6951 [6 per cell]
Br 0.3333 0.6667 0.0048 [2 per cell]

# 9
## TcPbBr2 (GGA-PBE)

Data for a relaxed structure of TcPbBr2.

The energy relative to the elements, uncorrected comes out at 57.46 kJ per mole of atoms. The value obtained for the raw total energy is -15.0 eV per formula unit.

Unit cell a=4.330 b=4.330 c=11.160 alpha=90.00 beta=90.00 gamma=90.00
Space group I-4m2 (No. 119)
Inequivalent atoms, fractional coordinates:
Tc 0.000 0.000 0.000 [2 per cell]
Pb 0.000 0.500 0.250 [2 per cell]
Br 0.000 0.000 0.500 [2 per cell]
Br 0.000 0.500 0.750 [2 per cell]

# 10
## LiCe2YAs4 (GGA-PBE)

Data for a relaxed structure of LiCe2YAs4.

For the formation energy from the elements, the calculation gives -1.16 eV/atom. The value obtained for the raw total energy is -48.1 eV per formula unit.

Unit cell a=7.007 b=4.205 c=7.267 alpha=90.00 beta=109.82 gamma=90.00
Space group P2/m (No. 10)
Inequivalent atoms, fractional coordinates:
Li 0.000 0.000 0.000 [1 per cell]
Ce 0.500 0.000 0.500 [1 per cell]
Ce 0.500 0.500 0.000 [1 per cell]
Y 0.000 0.500 0.500 [1 per cell]
As 0.250 0.000 0.749 [2 per cell]
As 0.257 0.500 0.254 [2 per cell]

# 11
## LaDy5Er2Sc (GGA-PBE)

Data for a relaxed structure of LaDy5Er2Sc.

For the formation energy from the elements, the calculation gives 0.18 eV/atom. The value obtained for the raw total energy is -41.8 eV per formula unit.

Unit cell a=5.577 b=19.681 c=10.346 alpha=90.00 beta=90.00 gamma=90.00
Space group Cmc2_1 (No. 36)
Inequivalent atoms, fractional coordinates:
La 0.000 0.085 0.000 [4 per cell]
Dy 0.000 0.019 0.287 [4 per cell]
Dy 0.000 0.123 0.569 [4 per cell]
Dy 0.000 0.203 0.255 [4 per cell]
Dy 0.000 0.223 0.871 [4 per cell]
Dy 0.000 0.482 0.570 [4 per cell]
Er 0.000 0.386 0.283 [4 per cell]
Er 0.000 0.388 0.863 [4 per cell]
Sc 0.000 0.304 0.562 [4 per cell]

# 12
## KIrSeN2 (GGA-PBE)

Data for a relaxed structure of KIrSeN2.

The energy relative to the elements, uncorrected comes out at 294.96 kJ per mole of atoms. The value obtained for the raw total energy is -14.8 eV per formula unit.

Unit cell a=4.163 b=4.163 c=6.245 alpha=90.00 beta=90.00 gamma=90.00
Space group P4/mmm (No. 123)
Inequivalent atoms, fractional coordinates:
K 0.000 0.000 0.000 [1 per cell]
Ir 0.500 0.500 0.500 [1 per cell]
Se 0.000 0.000 0.500 [1 per cell]
N 0.000 0.500 0.000 [2 per cell]